{
  "formula": "CoAgO2F",
  "functional": "GGA+U",
  "state": "optimized geometry",
  "e_tot_ev_per_cell": -19.2,
  "magmom_total_mub_per_atom": 0.596,
  "density_g_cm3": 5.299,
  "lattice_angstrom": [[4.068, 0.000, 0.000], [0.000, 4.068, 0.000], [0.000, 0.000, 4.123]],
  "species": ["Co", "Ag", "O", "O", "F"],
  "fractional_positions": [[0.000, 0.000, 0.000], [0.500, 0.500, 0.500], [0.000, 0.500, 0.500], [0.500, 0.000, 0.500], [0.500, 0.500, 0.000]]
}